The following is a GGA+U calculation of an optimized crystal structure of LiNiBO3, from the Alexandria database.

Cell and atoms, written as POSCAR:
```
LiNiBO3
1.0
3.092 0.015 0.000
-0.257 9.052 0.000
0.000 0.000 9.265
Li O B Ni
4 12 4 4
direct
0.746 0.639 0.800
0.254 0.361 0.200
0.754 0.861 0.300
0.246 0.139 0.700
0.749 0.679 0.420
0.249 0.179 0.080
0.261 0.947 0.214
0.251 0.321 0.580
0.258 0.321 0.836
0.742 0.679 0.164
0.758 0.821 0.664
0.242 0.179 0.336
0.739 0.053 0.786
0.239 0.553 0.714
0.761 0.447 0.286
0.751 0.821 0.920
0.250 0.402 0.709
0.750 0.598 0.291
0.250 0.098 0.209
0.750 0.902 0.791
0.250 0.788 0.062
0.750 0.212 0.938
0.250 0.712 0.562
0.750 0.288 0.438
```

Summary:
VASP energy: -6.226 eV/atom
volume: 259.4 Å³/cell
density of states at the Fermi level: 0.00 states/eV per cell